## Bi3WO7 (PBE with a Hubbard U)

Data for a geometry-optimized Bi3WO7 structure.

## Properties
The total energy is -6.38 eV per atom.

abc: 6.7628 6.7628 7.6744
angles: 90.00 90.00 108.20
Fractional positions:
Bi (0.0232, 0.5042, 0.2552)
Bi (0.0422, 0.0422, 0.0000)
Bi (0.4958, 0.9768, 0.2448)
Bi (0.5042, 0.0232, 0.7448)
Bi (0.9578, 0.9578, 0.5000)
Bi (0.9768, 0.4958, 0.7552)
W (0.4974, 0.4974, 0.5000)
W (0.5026, 0.5026, 0.0000)
O (0.1330, 0.8670, 0.7500)
O (0.1377, 0.8623, 0.2500)
O (0.1850, 0.4145, 0.9616)
O (0.2002, 0.4569, 0.5379)
O (0.4145, 0.1850, 0.0384)
O (0.4382, 0.5618, 0.2500)
O (0.4569, 0.2002, 0.4621)
O (0.5431, 0.7998, 0.9621)
O (0.5618, 0.4382, 0.7500)
O (0.5855, 0.8150, 0.5384)
O (0.7998, 0.5431, 0.0379)
O (0.8150, 0.5855, 0.4616)
O (0.8623, 0.1377, 0.7500)
O (0.8670, 0.1330, 0.2500)